1.
## AcNd3Tm2 (PBE-GGA)

Data for a relaxed structure of AcNd3Tm2.

Properties
Formation energy ... 0.39 eV per formula unit
Space group ... C2/c, No. 15
Total energy ... -4.4946 eV/atom
Total magnetization ... 0.0000 μB per atom

Cell lengths 6.8098, 6.8098, 11.5732 Å; angles 64.92, 64.92, 63.69 degrees
With the nearest neighbours (Å) after each atom.
Fractional positions:
Nd: 0.5021 0.4979 0.2500  2 Ac 3.55-3.64, 6 Tm 3.78-3.82, 6 Nd 3.78-3.80
Nd: 0.0858 0.5785 0.5838  1 Nd 3.33, 4 Tm 3.35-3.61
Nd: 0.5785 0.0858 0.0838  1 Nd 3.33, 4 Tm 3.35-3.61
Nd: 0.4979 0.5021 0.7500  2 Ac 3.55-3.64, 6 Tm 3.78-3.82, 6 Nd 3.78-3.80
Nd: 0.4215 0.9142 0.9162  1 Nd 3.33, 4 Tm 3.35-3.61
Nd: 0.9142 0.4215 0.4162  1 Nd 3.33, 4 Tm 3.35-3.61
Tm: 0.4162 0.9173 0.4182  1 Tm 3.31, 4 Nd 3.35-3.61
Tm: 0.5838 0.0827 0.5818  1 Tm 3.31, 4 Nd 3.35-3.61
Tm: 0.0827 0.5838 0.0818  1 Tm 3.31, 4 Nd 3.35-3.61
Tm: 0.9173 0.4162 0.9182  1 Tm 3.31, 4 Nd 3.35-3.61
Ac: 0.9956 0.0044 0.2500  8 Nd 3.55-3.83, 6 Tm 3.76-3.82
Ac: 0.0044 0.9956 0.7500  8 Nd 3.55-3.83, 6 Tm 3.76-3.82

***

2.
## HfSc2I (PBE-GGA)

Data for a relaxed structure of HfSc2I.

Properties
Space group ... I-42d, No. 122
Formation energy without anion corrections ... 1.401 eV per formula unit
Total energy ... -5.6915 eV/atom
Total magnetization ... 0.0024 μB per atom

Cell lengths 8.2428, 8.2428, 6.5617 Å; angles 51.09, 51.09, 90.00 degrees
With the nearest neighbours (Å) after each atom.
Fractional positions:
Sc: 0.1597 0.6250 0.2500  2 I 2.82, 2 Sc 3.07
Sc: 0.8750 0.8403 0.7500  2 I 2.82, 2 Sc 3.07
Sc: 0.3750 0.4097 0.7500  2 I 2.82, 2 Sc 3.07
Sc: 0.5903 0.1250 0.2500  2 I 2.82, 2 Sc 3.07
Hf: 0.0000 0.0000 0.0000  2 I 3.01, 4 Sc 3.21
Hf: 0.7500 0.2500 0.5000  2 I 3.01, 4 Sc 3.21
I: 0.2500 0.7500 0.5000  4 Sc 2.82, 2 Hf 3.01
I: 0.5000 0.5000 0.0000  4 Sc 2.82, 2 Hf 3.01

***

3.
## As5Au3 (PBE-GGA)

Data for a relaxed structure of As5Au3.

Properties
Formation energy ... 2.82 eV per formula unit
Space group ... Cmmm, No. 65
Total energy ... -3.7830 eV/atom
Total magnetization ... 0.0000 μB per atom

Cell lengths 6.0764, 6.0764, 4.3237 Å; angles 90.00, 90.00, 104.79 degrees
With the nearest neighbours (Å) after each atom.
Fractional positions:
Au: 0.7153 0.2847 0.5000  6 As 2.84-2.87, 2 Au 2.99
Au: 0.2847 0.7153 0.5000  6 As 2.84-2.87, 2 Au 2.99
Au: 0.5000 0.5000 0.0000  8 As 2.90-3.04, 4 Au 2.99
As: 0.0000 0.0000 0.0000  8 As 2.79-3.04
As: 0.2387 0.2387 0.5000  2 As 2.79, 4 Au 2.84-2.90
As: 0.7613 0.7613 0.5000  2 As 2.79, 4 Au 2.84-2.90
As: 0.0000 0.5000 0.0000  6 Au 2.87-3.04, 2 As 3.04
As: 0.5000 0.0000 0.0000  6 Au 2.87-3.04, 2 As 3.04